Record 1
This record from Alexandria describes Ac2PuIrN4 after structural relaxation. The functional is PBE-GGA.

CIF file:
```
data_Ac2PuIrN4
_chemical_formula_sum 'Ac16 Pu8 Ir8 N32'
_cell_length_a 5.702
_cell_length_b 12.584
_cell_length_c 17.345
_cell_angle_alpha 90.00
_cell_angle_beta 90.00
_cell_angle_gamma 90.00
_symmetry_space_group_name_H-M 'F d d d'
_symmetry_Int_Tables_number 70
loop_
_symmetry_equiv_pos_as_xyz
'x,y,z'
'-x,-y,-z'
'-x+1/4,-y+1/4,z'
'x+1/4,y+1/4,-z'
'x,-y+1/4,-z+1/4'
'-x,y+1/4,z+1/4'
'-x+1/4,y,-z+1/4'
'x+1/4,-y,z+1/4'
'x,y+1/2,z+1/2'
'-x,-y+1/2,-z+1/2'
'-x+1/4,-y+3/4,z+1/2'
'x+1/4,y+3/4,-z+1/2'
'x,-y+3/4,-z+3/4'
'-x,y+3/4,z+3/4'
'-x+1/4,y+1/2,-z+3/4'
'x+1/4,-y+1/2,z+3/4'
'x+1/2,y,z+1/2'
'-x+1/2,-y,-z+1/2'
'-x+3/4,-y+1/4,z+1/2'
'x+3/4,y+1/4,-z+1/2'
'x+1/2,-y+1/4,-z+3/4'
'-x+1/2,y+1/4,z+3/4'
'-x+3/4,y,-z+3/4'
'x+3/4,-y,z+3/4'
'x+1/2,y+1/2,z'
'-x+1/2,-y+1/2,-z'
'-x+3/4,-y+3/4,z'
'x+3/4,y+3/4,-z'
'x+1/2,-y+3/4,-z+1/4'
'-x+1/2,y+3/4,z+1/4'
'-x+3/4,y+1/2,-z+1/4'
'x+3/4,-y+1/2,z+1/4'
loop_
_atom_site_label
_atom_site_type_symbol
_atom_site_fract_x
_atom_site_fract_y
_atom_site_fract_z
_atom_site_occupancy
Ac1 Ac 0.125 0.125 0.303 1
Pu1 Pu 0.125 0.125 0.625 1
Ir1 Ir 0.125 0.125 0.125 1
N1 N 0.113 0.258 0.407 1
```

Summary:
Final energy ... -68.1 eV/f.u.
Size of the total moment ... 23.83 Bohr magnetons per cell

=====

Record 2
This record from Alexandria describes TlIn2Sb after structural relaxation. The functional is PBE-GGA.

CIF file:
```
data_TlIn2Sb
_chemical_formula_sum 'Tl1 In2 Sb1'
_cell_length_a 3.462
_cell_length_b 4.343
_cell_length_c 7.796
_cell_angle_alpha 90.00
_cell_angle_beta 90.00
_cell_angle_gamma 90.00
_symmetry_space_group_name_H-M 'P m m 2'
_symmetry_Int_Tables_number 25
loop_
_symmetry_equiv_pos_as_xyz
'x,y,z'
'-x,-y,z'
'-x,y,z'
'x,-y,z'
loop_
_atom_site_label
_atom_site_type_symbol
_atom_site_fract_x
_atom_site_fract_y
_atom_site_fract_z
_atom_site_occupancy
Tl1 Tl 0.000 0.000 0.000 1
In1 In 0.000 0.000 0.514 1
In2 In 0.500 0.500 0.285 1
Sb1 Sb 0.500 0.500 0.728 1
```

Summary:
Final energy ... -11.9 eV/f.u.
Size of the total moment ... 0.00 Bohr magnetons per cell
Energy above the lowest structure with this stoichiometry ... 2.5 meV/atom

=====

no.,raw formation energy (eV per atom)
1,-0.430
2,0.022